1.
The following is a PBE-GGA calculation of a geometry-optimized SmAsOsO structure, from OQMD via LeMat-Bulk. Values from VASP.

Output
The calculated density is 9.55 g/cm³. The total energy comes out at -29.4 eV/f.u.

The structure in Quantum ESPRESSO input format:
```
&SYSTEM
  ibrav = 0, nat = 8, ntyp = 4
/
ATOMIC_SPECIES
As 74.92 As.upf
O 16.00 O.upf
Os 190.23 Os.upf
Sm 150.36 Sm.upf
ATOMIC_POSITIONS angstrom
As -0.380 -4.123 -2.426
As -3.914 -3.599 -1.757
O -1.273 -0.937 -2.842
O -2.695 -4.384 -4.760
Os 0.570 -1.609 -3.430
Os -2.120 -2.672 -3.794
Sm -1.804 -1.816 -0.904
Sm -2.811 -6.043 -3.330
CELL_PARAMETERS angstrom
-0.355 2.108 -3.525
2.543 -4.781 -3.115
-5.299 -2.279 -0.829
```

***

2.
The following is a PBE-GGA calculation of a geometry-optimized SmAsOsO structure, from OQMD via LeMat-Bulk. Values from VASP.

Output
The calculated density is 10.77 g/cm³. The total energy comes out at -30.0 eV/f.u.

The structure in Quantum ESPRESSO input format:
```
&SYSTEM
  ibrav = 0, nat = 8, ntyp = 4
/
ATOMIC_SPECIES
As 74.92 As.upf
O 16.00 O.upf
Os 190.23 Os.upf
Sm 150.36 Sm.upf
ATOMIC_POSITIONS angstrom
As -1.503 1.672 0.354
As -4.429 4.672 1.113
O -4.647 1.819 -0.473
O -3.971 5.784 -1.911
Os -3.648 2.357 1.321
Os -3.040 6.304 -0.075
Sm -3.874 -0.483 -0.264
Sm -3.238 3.472 -1.678
CELL_PARAMETERS angstrom
-1.953 -0.985 -3.636
-3.551 -0.952 2.165
-2.272 6.960 -0.666
```

***

3.
The following is a PBE-GGA calculation of a geometry-optimized SnAsOsO structure, from OQMD via LeMat-Bulk. Values from VASP.

Output
The calculated density is 8.85 g/cm³. The total energy comes out at -26.8 eV/f.u.

The structure in Quantum ESPRESSO input format:
```
&SYSTEM
  ibrav = 0, nat = 8, ntyp = 4
/
ATOMIC_SPECIES
As 74.92 As.upf
O 16.00 O.upf
Os 190.23 Os.upf
Sn 118.71 Sn.upf
ATOMIC_POSITIONS angstrom
As 0.000 1.916 3.482
As 1.916 0.000 6.737
O 0.000 0.000 0.000
O 1.916 1.916 0.000
Os 0.000 0.000 5.110
Os 1.916 1.916 5.110
Sn 1.916 0.000 1.168
Sn 0.000 1.916 9.052
CELL_PARAMETERS angstrom
3.831 0.000 0.000
0.000 3.831 0.000
0.000 0.000 10.220
```

***

4.
The following is a PBE-GGA calculation of a geometry-optimized SnAsOsO structure, from OQMD via LeMat-Bulk. Values from VASP.

Output
The calculated density is 9.08 g/cm³. The total energy comes out at -22.6 eV/f.u.

The structure in Quantum ESPRESSO input format:
```
&SYSTEM
  ibrav = 0, nat = 8, ntyp = 4
/
ATOMIC_SPECIES
As 74.92 As.upf
O 16.00 O.upf
Os 190.23 Os.upf
Sn 118.71 Sn.upf
ATOMIC_POSITIONS angstrom
As 2.668 -0.996 0.078
As 4.032 -1.227 5.268
O 0.000 0.000 0.000
O 0.572 -2.891 -0.279
Os -0.314 -1.701 1.278
Os 7.014 -0.522 4.069
Sn 3.064 0.334 2.813
Sn 3.636 -2.557 2.534
CELL_PARAMETERS angstrom
-1.355 -3.482 1.889
2.498 -2.301 -2.448
6.128 0.668 5.626
```

***

5.
The following is a PBE-GGA calculation of a geometry-optimized SnAsOsO structure, from OQMD via LeMat-Bulk. Values from VASP.

Output
The calculated density is 8.44 g/cm³. The total energy comes out at -25.4 eV/f.u.

The structure in Quantum ESPRESSO input format:
```
&SYSTEM
  ibrav = 0, nat = 8, ntyp = 4
/
ATOMIC_SPECIES
As 74.92 As.upf
O 16.00 O.upf
Os 190.23 Os.upf
Sn 118.71 Sn.upf
ATOMIC_POSITIONS angstrom
As -0.463 0.867 3.152
As -0.745 1.885 7.260
O 0.197 -0.811 5.848
O -2.638 0.073 5.347
Os 0.776 0.935 5.402
Os -1.994 1.822 5.016
Sn -2.055 -0.879 2.003
Sn -0.574 0.230 9.294
CELL_PARAMETERS angstrom
-1.227 -3.492 0.781
4.160 0.217 7.512
-3.936 1.859 2.127
```

***

6.
The following is a PBE-GGA calculation of a geometry-optimized SnAsOsO structure, from OQMD via LeMat-Bulk. Values from VASP.

Output
The calculated density is 9.48 g/cm³. The total energy comes out at -25.7 eV/f.u.

The structure in Quantum ESPRESSO input format:
```
&SYSTEM
  ibrav = 0, nat = 8, ntyp = 4
/
ATOMIC_SPECIES
As 74.92 As.upf
O 16.00 O.upf
Os 190.23 Os.upf
Sn 118.71 Sn.upf
ATOMIC_POSITIONS angstrom
As 2.319 -0.369 -1.025
As 6.117 -0.614 -5.445
O 3.084 -1.448 -6.125
O 4.755 -2.518 -0.725
Os 2.023 -0.994 -7.838
Os 3.068 -2.306 0.449
Sn 3.118 -0.131 -4.163
Sn 5.547 -0.907 -2.262
CELL_PARAMETERS angstrom
-0.645 -2.972 -0.389
1.688 0.654 -7.794
5.450 -1.322 1.069
```

***

7.
The following is a PBE-GGA calculation of a geometry-optimized TaAsOsO structure, from OQMD via LeMat-Bulk. Values from VASP.

Output
The calculated density is 14.09 g/cm³. The total energy comes out at -31.8 eV/f.u.

The structure in Quantum ESPRESSO input format:
```
&SYSTEM
  ibrav = 0, nat = 8, ntyp = 4
/
ATOMIC_SPECIES
As 74.92 As.upf
O 16.00 O.upf
Os 190.23 Os.upf
Ta 180.95 Ta.upf
ATOMIC_POSITIONS angstrom
As 2.874 2.874 1.745
As 0.958 0.958 5.670
O 2.874 0.958 0.000
O 0.958 2.874 0.000
Os 0.958 0.958 1.405
Os 2.874 2.874 6.010
Ta 2.874 0.958 3.707
Ta 0.958 2.874 3.707
CELL_PARAMETERS angstrom
3.832 0.000 0.000
0.000 3.832 0.000
0.000 0.000 7.415
```

***

8.
The following is a PBE-GGA calculation of a geometry-optimized TaAsOsO structure, from OQMD via LeMat-Bulk. Values from VASP.

Output
The calculated density is 14.11 g/cm³. The total energy comes out at -31.8 eV/f.u.

The structure in Quantum ESPRESSO input format:
```
&SYSTEM
  ibrav = 0, nat = 8, ntyp = 4
/
ATOMIC_SPECIES
As 74.92 As.upf
O 16.00 O.upf
Os 190.23 Os.upf
Ta 180.95 Ta.upf
ATOMIC_POSITIONS angstrom
As -2.170 -1.316 -0.503
As -4.670 -1.066 3.531
O 0.000 0.000 0.000
O -2.070 1.126 -1.353
Os -1.925 0.953 1.010
Os -4.916 -3.335 2.017
Ta -2.385 -1.754 2.190
Ta -4.455 -0.628 0.837
CELL_PARAMETERS angstrom
-2.044 3.233 0.363
-2.095 -0.981 -3.068
-4.771 -3.508 4.380
```

***

9.
The following is a PBE-GGA calculation of a geometry-optimized TaAsOsO structure, from OQMD via LeMat-Bulk. Values from VASP.

Output
The calculated density is 12.42 g/cm³. The total energy comes out at -35.3 eV/f.u.

The structure in Quantum ESPRESSO input format:
```
&SYSTEM
  ibrav = 0, nat = 8, ntyp = 4
/
ATOMIC_SPECIES
As 74.92 As.upf
O 16.00 O.upf
Os 190.23 Os.upf
Ta 180.95 Ta.upf
ATOMIC_POSITIONS angstrom
As 2.733 0.363 -0.084
As 5.986 0.980 -0.270
O 4.547 -0.144 2.488
O 4.132 3.302 0.885
Os 4.109 -1.990 3.327
Os 2.192 2.614 1.143
Ta 4.829 -1.248 0.724
Ta 3.896 2.598 -1.080
CELL_PARAMETERS angstrom
-0.115 1.736 3.762
4.327 -3.337 1.672
3.404 3.627 -1.570
```

***

10.
The following is a PBE-GGA calculation of a geometry-optimized TaAsOsO structure, from OQMD via LeMat-Bulk. Values from VASP.

Output
The calculated density is 14.26 g/cm³. The total energy comes out at -35.2 eV/f.u.

The structure in Quantum ESPRESSO input format:
```
&SYSTEM
  ibrav = 0, nat = 8, ntyp = 4
/
ATOMIC_SPECIES
As 74.92 As.upf
O 16.00 O.upf
Os 190.23 Os.upf
Ta 180.95 Ta.upf
ATOMIC_POSITIONS angstrom
As 0.000 2.048 1.843
As 2.048 0.000 4.569
O 0.000 0.000 0.000
O 2.048 2.048 0.000
Os 0.000 0.000 3.206
Os 2.048 2.048 3.206
Ta 2.048 0.000 0.903
Ta 0.000 2.048 5.510
CELL_PARAMETERS angstrom
4.096 0.000 0.000
0.000 4.096 0.000
0.000 0.000 6.413
```

***

11.
The following is a PBE-GGA calculation of a geometry-optimized TeAsOsO structure, from OQMD via LeMat-Bulk. Values from VASP.

Output
The calculated density is 8.53 g/cm³. The total energy comes out at -21.4 eV/f.u.

The structure in Quantum ESPRESSO input format:
```
&SYSTEM
  ibrav = 0, nat = 8, ntyp = 4
/
ATOMIC_SPECIES
As 74.92 As.upf
O 16.00 O.upf
Os 190.23 Os.upf
Te 127.60 Te.upf
ATOMIC_POSITIONS angstrom
As 3.060 3.060 1.790
As 1.020 1.020 7.766
O 3.060 1.020 0.000
O 1.020 3.060 0.000
Os 1.020 1.020 0.663
Os 3.060 3.060 8.893
Te 3.060 1.020 4.778
Te 1.020 3.060 4.778
CELL_PARAMETERS angstrom
4.080 0.000 0.000
0.000 4.080 0.000
0.000 0.000 9.556
```

***

12.
The following is a PBE-GGA calculation of a geometry-optimized TeAsOsO structure, from OQMD via LeMat-Bulk. Values from VASP.

Output
The calculated density is 9.60 g/cm³. The total energy comes out at -23.2 eV/f.u.

The structure in Quantum ESPRESSO input format:
```
&SYSTEM
  ibrav = 0, nat = 8, ntyp = 4
/
ATOMIC_SPECIES
As 74.92 As.upf
O 16.00 O.upf
Os 190.23 Os.upf
Te 127.60 Te.upf
ATOMIC_POSITIONS angstrom
As 3.019 3.019 2.925
As 1.006 1.006 5.804
O 3.019 1.006 0.000
O 1.006 3.019 0.000
Os 3.019 1.006 4.365
Os 1.006 3.019 4.365
Te 1.006 1.006 1.179
Te 3.019 3.019 7.550
CELL_PARAMETERS angstrom
4.026 0.000 0.000
0.000 4.026 0.000
0.000 0.000 8.729
```